Record 1
Density functional theory data (GGA-PBE) for a relaxed CeDySc crystal.

For the total moment, the calculation gives 0.51 μB/f.u. Its formation energy is 0.087 eV per atom. The calculation puts the volume at 28.22 Å³/atom.

abc: 3.4250 3.4250 7.6118
angles: 103.00 103.00 90.00
With the nearest neighbours (Å) after each atom.
Fractional coordinates of all 3 atoms:
Dy (0.9504, 0.9504, 0.9009)  4 Dy 3.43, 4 Sc 3.45, 4 Ce 3.46
Sc (0.6206, 0.6206, 0.2412)  4 Ce 3.33, 4 Sc 3.43, 4 Dy 3.45
Ce (0.2789, 0.2789, 0.5579)  4 Sc 3.33, 4 Ce 3.43, 4 Dy 3.46

Record 2
Density functional theory data (GGA-PBE) for a relaxed Zr2TlCd crystal.

For the total moment, the calculation gives 0.00 μB/f.u. Its formation energy is -0.103 eV per atom. The calculation puts the volume at 22.24 Å³/atom.

abc: 4.3897 3.1907 7.0897
angles: 63.61 90.00 90.00
With the nearest neighbours (Å) after each atom.
Fractional coordinates of all 4 atoms:
Tl (0.5000, 0.7500, 0.7500)  8 Zr 3.15-3.16, 2 Cd 3.18, 2 Tl 3.19
Zr (0.0000, 0.9962, 0.0036)  4 Cd 3.13-3.14, 4 Zr 3.13-3.22, 4 Tl 3.15-3.16
Zr (0.0000, 0.5038, 0.4964)  4 Cd 3.13-3.14, 4 Zr 3.13-3.22, 4 Tl 3.15-3.16
Cd (0.5000, 0.2500, 0.2500)  8 Zr 3.13-3.14, 2 Tl 3.18, 2 Cd 3.19

Record 3
Density functional theory data (GGA-PBE) for a relaxed PuTh3 crystal.

For the total moment, the calculation gives 5.28 μB/f.u. Its formation energy is 0.076 eV per atom. The calculation puts the volume at 30.39 Å³/atom.

abc: 4.9790 4.9790 6.0360
angles: 114.36 114.36 90.00
With the nearest neighbours (Å) after each atom.
Fractional coordinates of all 4 atoms:
Th (0.5000, 0.5000, 0.0000)  8 Th 3.49, 4 Pu 3.52
Th (0.7500, 0.2500, 0.5000)  8 Th 3.49-3.52, 4 Pu 3.49
Th (0.2500, 0.7500, 0.5000)  8 Th 3.49-3.52, 4 Pu 3.49
Pu (0.0000, 0.0000, 0.0000)  12 Th 3.49-3.52

Record 4
Density functional theory data (GGA-PBE) for a relaxed TmVIr2 crystal.

For the total moment, the calculation gives 0.00 μB/f.u. Its formation energy is -0.592 eV per atom. The calculation puts the volume at 16.52 Å³/atom.

abc: 2.9994 2.9994 7.3441
angles: 90.00 90.00 90.00
With the nearest neighbours (Å) after each atom.
Fractional coordinates of all 4 atoms:
V (0.5000, 0.5000, 0.0000)  8 Ir 2.61
Ir (0.0000, 0.0000, 0.7939)  4 V 2.61
Ir (0.0000, 0.0000, 0.2061)  4 V 2.61
Tm (0.5000, 0.5000, 0.5000)  4 Tm 3.00, 8 Ir 3.03

Record 5
Density functional theory data (GGA-PBE) for a relaxed Er4TlZn2 crystal.

For the total moment, the calculation gives 0.00 μB/f.u. Its formation energy is -0.049 eV per atom. The calculation puts the volume at 27.44 Å³/atom.

abc: 4.8906 4.8906 9.6925
angles: 75.39 75.39 60.00
With the nearest neighbours (Å) after each atom.
Fractional coordinates of all 7 atoms:
Er (0.3833, 0.3833, 0.8502)  3 Zn 3.13, 3 Tl 3.15
Er (0.6167, 0.6167, 0.1498)  3 Zn 3.13, 3 Tl 3.15
Er (0.7985, 0.7985, 0.6045)  4 Zn 2.86-2.97
Er (0.2015, 0.2015, 0.3955)  4 Zn 2.86-2.97
Tl (0.0000, 0.0000, 0.0000)  2 Zn 2.74
Zn (0.0986, 0.0986, 0.7043)  1 Tl 2.74, 4 Er 2.86-2.97
Zn (0.9014, 0.9014, 0.2957)  1 Tl 2.74, 4 Er 2.86-2.97

Record 6
Density functional theory data (GGA-PBE) for a relaxed P2WSe crystal.

For the total moment, the calculation gives 0.00 μB/f.u. The value obtained for the formation energy (no corrections) is 0.30 eV per atom. The calculation puts the volume at 18.02 Å³/atom.

abc: 7.1465 7.1465 7.1465
angles: 154.23 152.94 37.71
With the nearest neighbours (Å) after each atom.
Fractional coordinates of all 4 atoms:
W (0.2134, 0.7134, 0.5000)  6 P 2.40-2.50
Se (0.4215, 0.4215, 0.0000)  2 P 2.50
P (0.0805, 0.0805, 0.0000)  2 W 2.40
P (0.7846, 0.2846, 0.5000)  2 Se 2.50, 4 W 2.50

Record 7
Density functional theory data (GGA-PBE) for a relaxed Er12Co6Ir crystal.

For the total moment, the calculation gives 0.00 μB/f.u. Its formation energy is -0.261 eV per atom. The calculation puts the volume at 21.86 Å³/atom.

abc: 8.1409 8.1409 8.1409
angles: 109.47 109.47 109.47
With the nearest neighbours (Å) after each atom.
Fractional coordinates of all 19 atoms:
Co (0.6159, 0.5000, 0.1159)  1 Co 2.18
Co (0.5000, 0.8841, 0.3841)  1 Co 2.18
Co (0.8841, 0.3841, 0.5000)  1 Co 2.18
Co (0.1159, 0.6159, 0.5000)  1 Co 2.18
Co (0.3841, 0.5000, 0.8841)  1 Co 2.18
Co (0.5000, 0.1159, 0.6159)  1 Co 2.18
Ir (0.0000, 0.0000, 0.0000)  12 Er 3.31
Er (0.5133, 0.8085, 0.7048)  3 Co 2.64-2.85
Er (0.8085, 0.7048, 0.5133)  3 Co 2.64-2.85
Er (0.2952, 0.4867, 0.1915)  3 Co 2.64-2.85
Er (0.7048, 0.5133, 0.8085)  3 Co 2.64-2.85
Er (0.1915, 0.7048, 0.8964)  3 Co 2.64-2.85
Er (0.4867, 0.1915, 0.2952)  3 Co 2.64-2.85
Er (0.2952, 0.1036, 0.8085)  3 Co 2.64-2.85
Er (0.1036, 0.8085, 0.2952)  3 Co 2.64-2.85
Er (0.8964, 0.1915, 0.7048)  3 Co 2.64-2.85
Er (0.1915, 0.2952, 0.4867)  3 Co 2.64-2.85
Er (0.7048, 0.8964, 0.1915)  3 Co 2.64-2.85
Er (0.8085, 0.2952, 0.1036)  3 Co 2.64-2.85

Record 8
Density functional theory data (GGA-PBE) for a relaxed Ho4TlPd7 crystal.

For the total moment, the calculation gives 0.00 μB/f.u. Its formation energy is -0.655 eV per atom. The calculation puts the volume at 21.29 Å³/atom.

abc: 5.2284 9.3913 6.0170
angles: 81.55 64.25 73.84
With the nearest neighbours (Å) after each atom.
Fractional coordinates of all 12 atoms:
Ho (0.4076, 0.7852, 0.3997)  8 Pd 2.84-3.05
Ho (0.7892, 0.6339, 0.7876)  5 Pd 2.81-2.87
Ho (0.5924, 0.2148, 0.6003)  8 Pd 2.84-3.05
Ho (0.2108, 0.3661, 0.2124)  5 Pd 2.81-2.87
Pd (0.9256, 0.3176, 0.8313)  2 Pd 2.75-2.81, 3 Ho 2.86-3.05, 1 Tl 2.98
Pd (0.6334, 0.4774, 0.2558)  2 Pd 2.69-2.75, 5 Ho 2.81-2.97
Pd (0.5000, 0.0000, 0.0000)  2 Tl 2.61, 2 Pd 2.77, 2 Ho 2.86
Pd (0.3666, 0.5226, 0.7442)  2 Pd 2.69-2.75, 5 Ho 2.81-2.97
Pd (0.2123, 0.0945, 0.4809)  2 Pd 2.77-2.81, 4 Ho 2.81-2.91, 1 Tl 2.91
Pd (0.0744, 0.6824, 0.1687)  2 Pd 2.75-2.81, 3 Ho 2.86-3.05, 1 Tl 2.98
Pd (0.7877, 0.9055, 0.5191)  2 Pd 2.77-2.81, 4 Ho 2.81-2.91, 1 Tl 2.91
Tl (0.0000, 0.0000, 0.0000)  4 Pd 2.61-2.91

Record 9
Density functional theory data (GGA-PBE) for a relaxed Na3MnRh crystal.

For the total moment, the calculation gives 5.03 μB/f.u. Its formation energy is 0.953 eV per atom. The calculation puts the volume at 30.24 Å³/atom.

abc: 5.3271 5.3271 5.3271
angles: 90.00 90.00 90.00
With the nearest neighbours (Å) after each atom.
Fractional coordinates of all 5 atoms:
Rh (0.0000, 0.0000, 0.0000)  6 Na 2.66
Na (0.0000, 0.0000, 0.5000)  2 Rh 2.66
Na (0.5000, 0.0000, 0.0000)  2 Rh 2.66
Na (0.0000, 0.5000, 0.0000)  2 Rh 2.66
Mn (0.5000, 0.5000, 0.5000)  12 Na 3.77

Record 10
Density functional theory data (GGA-PBE) for a relaxed Cs3PmTe3 crystal.

For the total moment, the calculation gives 0.00 μB/f.u. The value obtained for the formation energy (no corrections) is -1.22 eV per atom. The calculation puts the volume at 56.42 Å³/atom.

abc: 9.6667 9.6667 9.4047
angles: 95.92 95.92 113.76
With the nearest neighbours (Å) after each atom.
Fractional coordinates of all 14 atoms:
Te (0.0988, 0.0988, 0.8105)  2 Pm 3.04-3.07
Te (0.8397, 0.5401, 0.7225)  1 Pm 2.96
Te (0.9012, 0.9012, 0.1895)  2 Pm 3.04-3.07
Te (0.1603, 0.4599, 0.2775)  1 Pm 2.96
Te (0.4599, 0.1603, 0.2775)  1 Pm 2.96
Te (0.5401, 0.8397, 0.7225)  1 Pm 2.96
Cs (0.8224, 0.1776, 0.5000)  6 Te 3.82-4.23
Cs (0.3843, 0.3843, 0.6356)  5 Te 3.70-4.10, 1 Cs 3.85
Cs (0.2453, 0.7547, 0.0000)  4 Te 3.96-4.09
Cs (0.6157, 0.6157, 0.3644)  5 Te 3.70-4.10, 1 Cs 3.85
Cs (0.1776, 0.8224, 0.5000)  6 Te 3.82-4.23
Cs (0.7547, 0.2453, 0.0000)  4 Te 3.96-4.09
Pm (0.8218, 0.8218, 0.8578)  4 Te 2.96-3.07
Pm (0.1782, 0.1782, 0.1422)  4 Te 2.96-3.07

Record 11
Density functional theory data (GGA-PBE) for a relaxed NdDy5Y2Ho crystal.

For the total moment, the calculation gives 0.00 μB/f.u. Its formation energy is 0.155 eV per atom. The calculation puts the volume at 32.76 Å³/atom.

abc: 5.6294 10.2917 10.5801
angles: 90.00 90.00 105.87
With the nearest neighbours (Å) after each atom.
Fractional coordinates of all 18 atoms:
Ho (0.7991, 0.5982, 0.5115)  2 Y 3.43-3.69, 8 Dy 3.50-3.74, 2 Nd 3.69
Ho (0.2009, 0.4018, 0.0115)  2 Y 3.43-3.69, 8 Dy 3.50-3.74, 2 Nd 3.69
Dy (0.6115, 0.2230, 0.5223)  6 Dy 3.47-3.82, 4 Y 3.54-3.60, 1 Ho 3.72
Dy (0.2982, 0.5964, 0.7081)  4 Dy 3.41-3.77, 3 Ho 3.50-3.74, 3 Y 3.52-3.72, 1 Nd 3.56
Dy (0.2821, 0.5643, 0.3118)  1 Nd 3.05, 1 Y 3.33, 2 Dy 3.41
Dy (0.7179, 0.4357, 0.8118)  1 Nd 3.05, 1 Y 3.33, 2 Dy 3.41
Dy (0.5208, 0.0417, 0.2378)  2 Nd 3.09-3.25
Dy (0.4792, 0.9583, 0.7378)  2 Nd 3.09-3.25
Dy (0.3885, 0.7770, 0.0223)  6 Dy 3.47-3.82, 4 Y 3.54-3.60, 1 Ho 3.72
Dy (0.9810, 0.9620, 0.5246)  2 Nd 3.18, 2 Y 3.40-3.41
Dy (0.7018, 0.4036, 0.2081)  4 Dy 3.41-3.77, 3 Ho 3.50-3.74, 3 Y 3.52-3.72, 1 Nd 3.56
Dy (0.0190, 0.0380, 0.0246)  2 Nd 3.18, 2 Y 3.40-3.41
Nd (0.5839, 0.1679, 0.9541)  5 Dy 3.05-3.25
Nd (0.4161, 0.8321, 0.4541)  5 Dy 3.05-3.25
Y (0.1109, 0.2218, 0.7342)  7 Dy 3.40-3.72, 1 Ho 3.43, 2 Nd 3.69
Y (0.1138, 0.2275, 0.3197)  9 Dy 3.33-3.64, 1 Ho 3.69
Y (0.8891, 0.7782, 0.2342)  7 Dy 3.40-3.72, 1 Ho 3.43, 2 Nd 3.69
Y (0.8862, 0.7725, 0.8197)  9 Dy 3.33-3.64, 1 Ho 3.69

Record 12
Density functional theory data (GGA-PBE) for a relaxed ZnOs crystal.

For the total moment, the calculation gives 1.51 μB/f.u. Its formation energy is 1.638 eV per atom. The calculation puts the volume at 19.65 Å³/atom.

abc: 4.2783 4.2783 4.9592
angles: 90.00 90.00 120.00
With the nearest neighbours (Å) after each atom.
Fractional coordinates of all 4 atoms:
Zn (0.3333, 0.6667, 0.2500)  5 Os 2.47-2.48
Zn (0.6667, 0.3333, 0.7500)  5 Os 2.47-2.48
Os (0.3333, 0.6667, 0.7500)  5 Zn 2.47-2.48
Os (0.6667, 0.3333, 0.2500)  5 Zn 2.47-2.48

Record 13
Density functional theory data (GGA-PBE) for a relaxed SrLiRhPb crystal.

For the total moment, the calculation gives 0.00 μB/f.u. Its formation energy is -0.348 eV per atom. The calculation puts the volume at 25.09 Å³/atom.

abc: 4.7392 4.7397 5.8485
angles: 114.08 90.00 120.00
With the nearest neighbours (Å) after each atom.
Fractional coordinates of all 4 atoms:
Rh (0.4248, 0.8497, 0.9163)  3 Pb 2.74, 3 Li 2.88, 1 Sr 3.06
Sr (0.6219, 0.2438, 0.5087)  1 Li 3.00, 1 Rh 3.06
Pb (0.1037, 0.2073, 0.9530)  3 Rh 2.74, 3 Li 2.82-2.83
Li (0.8159, 0.6318, 0.0894)  3 Pb 2.82-2.83, 3 Rh 2.88, 1 Sr 3.00

Record 14
Density functional theory data (GGA-PBE) for a relaxed LiLu2Si crystal.

For the total moment, the calculation gives 0.00 μB/f.u. The value obtained for the formation energy (no corrections) is 0.00 eV per atom. The calculation puts the volume at 26.51 Å³/atom.

abc: 3.4631 3.4631 10.4039
angles: 80.42 80.42 60.00
With the nearest neighbours (Å) after each atom.
Fractional coordinates of all 4 atoms:
Si (0.5000, 0.5000, 0.5000)  6 Lu 2.80
Lu (0.8973, 0.8973, 0.3080)  3 Si 2.80
Lu (0.1027, 0.1027, 0.6920)  3 Si 2.80
Li (0.0000, 0.0000, 0.0000)  2 Lu 3.14, 6 Li 3.46

Record 15
Density functional theory data (GGA-PBE) for a relaxed GeAsPtBr2 crystal.

For the total moment, the calculation gives 0.00 μB/f.u. The value obtained for the formation energy (no corrections) is 0.41 eV per atom. The calculation puts the volume at 26.16 Å³/atom.

abc: 5.1774 5.1774 4.8799
angles: 90.00 90.00 90.00
With the nearest neighbours (Å) after each atom.
Fractional coordinates of all 5 atoms:
Br (0.0000, 0.5000, 0.0000)  2 Pt 2.59
Br (0.5000, 0.0000, 0.0000)  2 Pt 2.59
As (0.0000, 0.0000, 0.5000)  2 Pt 2.44
Ge (0.5000, 0.5000, 0.5000)  8 Br 3.56, 4 As 3.66
Pt (0.0000, 0.0000, 0.0000)  2 As 2.44, 4 Br 2.59

Record 16
Density functional theory data (GGA-PBE) for a relaxed CdNiI4 crystal.

For the total moment, the calculation gives 0.12 μB/f.u. The value obtained for the formation energy (no corrections) is -0.23 eV per atom. The calculation puts the volume at 52.28 Å³/atom.

abc: 7.9938 7.9938 9.8182
angles: 90.00 90.00 90.00
With the nearest neighbours (Å) after each atom.
Fractional coordinates of all 12 atoms:
Ni (0.0000, 0.0000, 0.5000)  4 I 2.53
Ni (0.0000, 0.0000, 0.0000)  4 I 2.53
I (0.7730, 0.7798, 0.0000)  1 Ni 2.53
I (0.2202, 0.2270, 0.5000)  1 Ni 2.53
I (0.2202, 0.7730, 0.5000)  1 Ni 2.53
I (0.2270, 0.2202, 0.0000)  1 Ni 2.53
I (0.7730, 0.2202, 0.0000)  1 Ni 2.53
I (0.2270, 0.7798, 0.0000)  1 Ni 2.53
I (0.7798, 0.2270, 0.5000)  1 Ni 2.53
I (0.7798, 0.7730, 0.5000)  1 Ni 2.53
Cd (0.5000, 0.0000, 0.5000)  4 I 2.88
Cd (0.0000, 0.5000, 0.0000)  4 I 2.88

Record 17
Density functional theory data (GGA-PBE) for a relaxed SrTc3B crystal.

For the total moment, the calculation gives 7.84 μB/f.u. Its formation energy is 3.796 eV per atom. The calculation puts the volume at 24.39 Å³/atom.

abc: 4.9593 4.9593 4.9593
angles: 90.00 90.00 90.00
With the nearest neighbours (Å) after each atom.
Fractional coordinates of all 5 atoms:
Tc (0.0000, 0.5000, 0.0000)  2 Sr 2.48
Tc (0.0000, 0.0000, 0.5000)  2 Sr 2.48
Tc (0.5000, 0.0000, 0.0000)  2 Sr 2.48
Sr (0.0000, 0.0000, 0.0000)  6 Tc 2.48
B (0.5000, 0.5000, 0.5000)  12 Tc 3.51

Record 18
Density functional theory data (GGA-PBE) for a relaxed MgCuSe3 crystal.

For the total moment, the calculation gives 0.00 μB/f.u. The value obtained for the formation energy (no corrections) is -0.19 eV per atom. The calculation puts the volume at 25.06 Å³/atom.

abc: 8.1623 8.1623 4.8466
angles: 90.00 90.00 129.09
With the nearest neighbours (Å) after each atom.
Fractional coordinates of all 10 atoms:
Se (0.7906, 0.5862, 0.2500)  1 Se 2.64, 3 Mg 2.81-2.83, 2 Cu 2.92
Se (0.8650, 0.1350, 0.2500)  2 Cu 2.33
Se (0.2094, 0.4138, 0.7500)  1 Se 2.64, 3 Mg 2.81-2.83, 2 Cu 2.92
Se (0.5862, 0.7906, 0.7500)  1 Se 2.64, 3 Mg 2.81-2.83, 2 Cu 2.92
Se (0.1350, 0.8650, 0.7500)  2 Cu 2.33
Se (0.4138, 0.2094, 0.2500)  1 Se 2.64, 3 Mg 2.81-2.83, 2 Cu 2.92
Cu (0.0000, 0.0000, 0.5000)  2 Se 2.33, 2 Cu 2.42
Cu (0.0000, 0.0000, 0.0000)  2 Se 2.33, 2 Cu 2.42
Mg (0.5675, 0.4325, 0.7500)  6 Se 2.81-2.83, 2 Mg 3.13
Mg (0.4325, 0.5675, 0.2500)  6 Se 2.81-2.83, 2 Mg 3.13

Record 19
Density functional theory data (GGA-PBE) for a relaxed Ce2Tm2Pt3 crystal.

For the total moment, the calculation gives 1.89 μB/f.u. Its formation energy is -1.041 eV per atom. The calculation puts the volume at 23.86 Å³/atom.

abc: 7.5706 7.5706 7.5706
angles: 109.47 109.47 109.47
With the nearest neighbours (Å) after each atom.
Fractional coordinates of all 14 atoms:
Pt (0.8860, 0.2500, 0.6360)  2 Ce 2.82, 4 Tm 2.87-3.14
Pt (0.7500, 0.6360, 0.3860)  2 Ce 2.82, 4 Tm 2.87-3.14
Pt (0.2500, 0.8640, 0.1140)  2 Ce 2.82, 4 Tm 2.87-3.14
Pt (0.3640, 0.1140, 0.7500)  2 Ce 2.82, 4 Tm 2.87-3.14
Pt (0.6140, 0.7500, 0.8640)  2 Ce 2.82, 4 Tm 2.87-3.14
Pt (0.1360, 0.3860, 0.2500)  2 Ce 2.82, 4 Tm 2.87-3.14
Tm (0.5000, 0.8730, 0.5000)  6 Pt 2.87-3.14
Tm (0.1270, 0.6270, 0.6270)  6 Pt 2.87-3.14
Tm (0.3730, 0.5000, 0.0000)  6 Pt 2.87-3.14
Tm (0.0000, 0.0000, 0.8730)  6 Pt 2.87-3.14
Ce (0.5000, 0.3751, 0.5000)  3 Pt 2.82
Ce (0.6249, 0.1249, 0.1249)  3 Pt 2.82
Ce (0.8751, 0.5000, 0.0000)  3 Pt 2.82
Ce (0.0000, 0.0000, 0.3751)  3 Pt 2.82

Record 20
Density functional theory data (GGA-PBE) for a relaxed YPBr2 crystal.

For the total moment, the calculation gives 0.00 μB/f.u. The value obtained for the formation energy (no corrections) is -0.62 eV per atom. The calculation puts the volume at 25.53 Å³/atom.

abc: 4.5613 5.8968 4.5491
angles: 66.92 90.93 113.14
With the nearest neighbours (Å) after each atom.
Fractional coordinates of all 4 atoms:
Br (0.5000, 0.0000, 0.5000)  2 P 2.93, 2 Y 2.93, 4 Br 3.19-3.25
Br (0.0000, 0.0000, 0.0000)  2 Y 2.93, 2 P 2.93, 4 Br 3.19-3.25
P (0.0000, 0.5000, 0.5000)  4 Br 2.93, 4 Y 3.19-3.25
Y (0.5000, 0.5000, 0.0000)  4 Br 2.93, 4 P 3.19-3.25